! EuLuPd GGA-PBE optimized geometry; values from VASP
&SYSTEM
  ibrav = 0, nat = 3, ntyp = 3
/
ATOMIC_SPECIES
Eu 151.96 Eu.upf
Lu 174.97 Lu.upf
Pd 106.42 Pd.upf
CELL_PARAMETERS angstrom
3.564 0.000 0.000
0.000 3.564 0.000
-1.782 -1.782 6.309
ATOMIC_POSITIONS angstrom
Eu 0.000 0.000 0.273
Lu 0.000 0.000 3.696
Pd 1.782 1.782 2.339
! N(E_F) = 1.89 states/eV per atom
! M_tot = 2.48 μB/atom
! calculated total energy = -0.5289 Ry/atom
! ΔE_f = -0.533 eV/atom

---

! Pm6Cu5 GGA-PBE optimized geometry; values from VASP
&SYSTEM
  ibrav = 0, nat = 11, ntyp = 2
/
ATOMIC_SPECIES
Pm 145.00 Pm.upf
Cu 63.55 Cu.upf
CELL_PARAMETERS angstrom
-1.499 -0.743 4.735
2.073 -6.796 -0.412
6.532 5.700 0.300
ATOMIC_POSITIONS angstrom
Pm 0.802 -5.459 2.059
Pm -0.228 -2.081 2.264
Pm 3.299 2.621 4.119
Pm 4.336 -0.779 3.913
Pm 3.806 -4.461 0.504
Pm 2.769 -1.061 0.710
Cu 1.036 -3.398 -0.206
Cu 2.584 -3.119 2.991
Cu 4.521 1.280 1.632
Cu 5.510 -2.132 1.409
Cu 1.595 0.292 3.214
! N(E_F) = 1.03 states/eV per atom
! M_tot = 0.00 μB/atom
! calculated total energy = -0.3340 Ry/atom
! ΔE_f = -0.092 eV/atom

---

! ScHg2Cl GGA-PBE optimized geometry; values from VASP
&SYSTEM
  ibrav = 0, nat = 4, ntyp = 3
/
ATOMIC_SPECIES
Cl 35.45 Cl.upf
Hg 200.59 Hg.upf
Sc 44.96 Sc.upf
CELL_PARAMETERS angstrom
3.314 0.000 0.000
0.000 3.314 0.000
0.000 0.000 8.651
ATOMIC_POSITIONS angstrom
Cl 1.657 1.657 5.826
Hg 0.000 0.000 0.152
Hg 1.657 1.657 2.484
Sc 0.000 0.000 4.514
! N(E_F) = 0.64 states/eV per atom
! ΔE to the lowest computed polymorph = 7.3 kJ per mole of atoms
! M_tot = 0.00 μB/atom
! calculated total energy = -0.2076 Ry/atom

---

! Al3Ni2Pt GGA-PBE optimized geometry; values from VASP
&SYSTEM
  ibrav = 0, nat = 6, ntyp = 3
/
ATOMIC_SPECIES
Ni 58.69 Ni.upf
Al 26.98 Al.upf
Pt 195.08 Pt.upf
CELL_PARAMETERS angstrom
-0.810 1.804 -2.238
-0.755 -2.377 -1.643
-8.121 0.352 3.222
ATOMIC_POSITIONS angstrom
Ni -7.595 0.009 0.763
Ni -2.090 -0.230 -1.421
Al 0.000 0.000 0.000
Al -5.556 0.241 2.204
Al -2.566 0.111 1.018
Pt -4.843 -0.110 -0.329
! N(E_F) = 0.36 states/eV per atom
! M_tot = 0.00 μB/atom
! calculated total energy = -0.4083 Ry/atom
! ΔE_f = -0.750 eV/atom

---

! CuRe2GeSb GGA-PBE optimized geometry; values from VASP
&SYSTEM
  ibrav = 0, nat = 5, ntyp = 4
/
ATOMIC_SPECIES
Re 186.21 Re.upf
Ge 72.64 Ge.upf
Cu 63.55 Cu.upf
Sb 121.76 Sb.upf
CELL_PARAMETERS angstrom
-3.295 -2.676 2.093
-0.794 -1.859 -3.626
3.275 -3.279 0.964
ATOMIC_POSITIONS angstrom
Re 1.637 -1.639 0.482
Re -1.648 -1.338 1.047
Ge -0.397 -0.929 -1.813
Cu 0.000 0.000 0.000
Sb -0.407 -3.907 -0.284
! N(E_F) = 1.02 states/eV per atom
! M_tot = 0.33 μB/atom
! calculated total energy = -0.4431 Ry/atom

---

! TeRu2Cl2 GGA-PBE optimized geometry; values from VASP
&SYSTEM
  ibrav = 0, nat = 10, ntyp = 3
/
ATOMIC_SPECIES
Ru 101.07 Ru.upf
Te 127.60 Te.upf
Cl 35.45 Cl.upf
CELL_PARAMETERS angstrom
7.706 0.000 0.000
0.000 7.706 0.000
0.000 0.000 3.569
ATOMIC_POSITIONS angstrom
Ru 2.008 5.861 0.000
Ru 5.861 5.698 0.000
Ru 5.698 1.845 0.000
Ru 1.845 2.008 0.000
Te 0.000 0.000 0.000
Te 3.853 3.853 0.000
Cl 1.023 4.876 1.784
Cl 4.876 6.683 1.784
Cl 6.683 2.830 1.784
Cl 2.830 1.023 1.784
! N(E_F) = 0.66 states/eV per atom
! ΔE to the lowest computed polymorph = 0.0 kJ per mole of atoms
! M_tot = 0.00 μB/atom
! calculated total energy = -0.3360 Ry/atom

---

! BC2 GGA-PBE optimized geometry; values from VASP
&SYSTEM
  ibrav = 0, nat = 6, ntyp = 2
/
ATOMIC_SPECIES
B 10.81 B.upf
C 12.01 C.upf
CELL_PARAMETERS angstrom
3.471 0.072 -2.980
-0.412 2.425 -3.858
0.092 -0.072 4.574
ATOMIC_POSITIONS angstrom
B 2.193 1.665 -4.490
B 1.246 0.416 -0.810
C 2.446 1.226 -2.935
C 1.085 0.783 2.209
C 3.069 2.403 -2.227
C 0.050 2.031 -2.357
! N(E_F) = 0.21 states/eV per atom
! ΔE to the lowest computed polymorph = 8.3 kJ per mole of atoms
! M_tot = 0.00 μB/atom
! calculated total energy = -0.5916 Ry/atom
! ΔE_f = 0.326 eV/atom

---

! LiMnIr2Ru GGA-PBE optimized geometry; values from VASP
&SYSTEM
  ibrav = 0, nat = 5, ntyp = 4
/
ATOMIC_SPECIES
Ru 101.07 Ru.upf
Ir 192.22 Ir.upf
Mn 54.94 Mn.upf
Li 6.94 Li.upf
CELL_PARAMETERS angstrom
-3.001 -2.429 1.227
1.031 -2.654 -2.733
2.508 -1.757 2.653
ATOMIC_POSITIONS angstrom
Ru 0.269 -3.420 0.574
Ir 1.254 -0.879 1.326
Ir -1.500 -1.215 0.614
Mn 0.515 -1.327 -1.366
Li 0.000 0.000 0.000
! N(E_F) = 1.54 states/eV per atom
! M_tot = 0.00 μB/atom
! calculated total energy = -0.4887 Ry/atom
! ΔE_f = 0.967 eV/atom

---

! CeBe4Sn3O12 GGA-PBE optimized geometry; values from VASP
&SYSTEM
  ibrav = 0, nat = 20, ntyp = 4
/
ATOMIC_SPECIES
Ce 140.12 Ce.upf
Be 9.01 Be.upf
Sn 118.71 Sn.upf
O 16.00 O.upf
CELL_PARAMETERS angstrom
6.415 -0.050 -0.070
-1.595 6.214 -0.070
-1.595 -2.039 5.870
ATOMIC_POSITIONS angstrom
Ce 0.000 0.000 0.000
Be 5.165 -0.716 2.865
Be -1.939 1.180 5.499
Be 1.613 5.722 0.230
Be 1.613 2.062 2.865
Sn 2.846 2.741 -0.070
Sn 1.974 -1.153 3.223
Sn -1.595 2.536 2.577
O 1.613 0.816 3.761
O 4.869 2.870 0.450
O -1.643 4.609 2.865
O 1.613 -1.293 5.280
O 0.358 5.585 1.146
O -0.752 0.183 5.659
O 5.334 0.549 1.970
O 2.867 4.810 0.070
O -2.108 2.431 4.584
O 3.978 -1.185 3.760
O 2.822 2.362 1.968
O 0.404 3.008 2.865
! M_tot = 0.00 μB/atom
! calculated total energy = -0.5025 Ry/atom

---

! TaCd2Fe GGA-PBE optimized geometry; values from VASP
&SYSTEM
  ibrav = 0, nat = 4, ntyp = 3
/
ATOMIC_SPECIES
Cd 112.41 Cd.upf
Fe 55.84 Fe.upf
Ta 180.95 Ta.upf
CELL_PARAMETERS angstrom
-5.156 1.986 -0.092
-3.870 -3.251 -2.234
3.787 0.645 3.972
ATOMIC_POSITIONS angstrom
Cd -0.049 -0.007 -0.013
Cd -2.730 1.029 1.413
Fe -4.322 -0.606 -1.114
Ta -2.650 -1.668 0.196
! N(E_F) = 0.49 states/eV per atom
! ΔE to the lowest computed polymorph = 19.9 kJ per mole of atoms
! M_tot = 0.22 μB/atom
! calculated total energy = -0.3804 Ry/atom
! ΔE_f = 0.360 eV/atom

---

! Ho3Zn4Ge2 GGA-PBE optimized geometry; values from VASP
&SYSTEM
  ibrav = 0, nat = 9, ntyp = 3
/
ATOMIC_SPECIES
Ho 164.93 Ho.upf
Zn 65.41 Zn.upf
Ge 72.64 Ge.upf
CELL_PARAMETERS angstrom
4.265 0.000 0.000
-2.132 5.100 -1.570
0.000 -0.359 8.375
ATOMIC_POSITIONS angstrom
Ho 2.132 1.572 4.906
Ho 0.000 0.000 0.000
Ho 0.000 3.170 1.899
Zn 2.132 2.507 -0.141
Zn 0.000 2.234 6.946
Zn 2.132 4.701 3.855
Zn 0.000 0.040 2.950
Ge 2.132 1.031 1.955
Ge 0.000 3.710 4.851
! N(E_F) = 0.40 states/eV per atom
! M_tot = 0.00 μB/atom
! calculated total energy = -0.2711 Ry/atom
! ΔE_f = -0.570 eV/atom

---

! BeTc2HPt GGA-PBE optimized geometry; values from VASP
&SYSTEM
  ibrav = 0, nat = 5, ntyp = 4
/
ATOMIC_SPECIES
Be 9.01 Be.upf
Tc 98.00 Tc.upf
Pt 195.08 Pt.upf
H 1.01 H.upf
CELL_PARAMETERS angstrom
-1.658 2.989 1.497
-3.321 -1.663 -0.359
0.419 -1.648 3.755
ATOMIC_POSITIONS angstrom
Be 0.210 -0.824 1.877
Tc -1.661 -0.831 -0.180
Tc -0.829 1.494 0.748
Pt -2.280 -0.161 2.446
H 0.000 0.000 0.000
! N(E_F) = 0.93 states/eV per atom
! M_tot = 0.00 μB/atom
! calculated total energy = -0.4924 Ry/atom

---

! Y2MnPb GGA-PBE optimized geometry; values from VASP
&SYSTEM
  ibrav = 0, nat = 4, ntyp = 3
/
ATOMIC_SPECIES
Mn 54.94 Mn.upf
Pb 207.20 Pb.upf
Y 88.91 Y.upf
CELL_PARAMETERS angstrom
-1.602 3.229 0.149
-2.320 -1.325 3.767
4.785 2.202 3.721
ATOMIC_POSITIONS angstrom
Mn 2.250 1.035 1.749
Pb 1.680 2.627 4.790
Y 4.718 2.171 3.668
Y -0.607 1.575 3.011
! N(E_F) = 0.84 states/eV per atom
! M_tot = 0.82 μB/atom
! calculated total energy = -0.4702 Ry/atom
! ΔE_f = 0.055 eV/atom

---

! KMnTe2 GGA-PBE optimized geometry; values from VASP
&SYSTEM
  ibrav = 0, nat = 4, ntyp = 3
/
ATOMIC_SPECIES
K 39.10 K.upf
Mn 54.94 Mn.upf
Te 127.60 Te.upf
CELL_PARAMETERS angstrom
-3.206 -1.403 1.037
-0.323 -1.655 -3.237
4.033 -6.904 3.127
ATOMIC_POSITIONS angstrom
K -0.756 -3.255 -0.318
Mn 1.260 -6.707 1.245
Te 3.831 -6.558 2.971
Te 2.219 -3.798 1.720
! N(E_F) = 0.41 states/eV per atom
! M_tot = 1.06 μB/atom
! calculated total energy = -0.3200 Ry/atom

---

! NbCd3I GGA-PBE optimized geometry; values from VASP
&SYSTEM
  ibrav = 0, nat = 5, ntyp = 3
/
ATOMIC_SPECIES
I 126.90 I.upf
Nb 92.91 Nb.upf
Cd 112.41 Cd.upf
CELL_PARAMETERS angstrom
5.749 0.000 0.000
0.000 5.749 0.000
0.000 0.000 5.749
ATOMIC_POSITIONS angstrom
I 0.000 0.000 0.000
Nb 2.875 2.875 2.875
Cd 0.000 2.875 0.000
Cd 0.000 0.000 2.875
Cd 2.875 0.000 0.000
! N(E_F) = 1.11 states/eV per atom
! ΔE to the lowest computed polymorph = 65.4 kJ per mole of atoms
! M_tot = 0.86 μB/atom
! calculated total energy = -0.1041 Ry/atom

---

! La6Sm2Tm3 GGA-PBE optimized geometry; values from VASP
&SYSTEM
  ibrav = 0, nat = 11, ntyp = 3
/
ATOMIC_SPECIES
La 138.91 La.upf
Sm 150.36 Sm.upf
Tm 168.93 Tm.upf
CELL_PARAMETERS angstrom
-0.249 -3.649 5.132
0.916 -5.221 -6.197
8.639 -14.361 -0.638
ATOMIC_POSITIONS angstrom
La 8.033 -17.612 0.892
La 5.698 -14.831 1.463
La 1.273 -5.619 -2.595
La 3.608 -8.400 -3.166
La 5.329 -14.400 -2.140
La 3.977 -8.831 0.437
Sm 1.670 -6.041 0.990
Sm 7.635 -17.190 -2.694
Tm 0.000 0.000 0.000
Tm 2.976 -11.646 -1.615
Tm 6.329 -11.585 -0.088
! N(E_F) = 1.57 states/eV per atom
! M_tot = 0.00 μB/atom
! calculated total energy = -0.3484 Ry/atom
! ΔE_f = 0.025 eV/atom

---

! GdNpRh2 GGA-PBE optimized geometry; values from VASP
&SYSTEM
  ibrav = 0, nat = 4, ntyp = 3
/
ATOMIC_SPECIES
Np 237.00 Np.upf
Gd 157.25 Gd.upf
Rh 102.91 Rh.upf
CELL_PARAMETERS angstrom
-1.063 1.563 -2.836
0.088 -4.255 -2.379
-4.632 -0.815 1.287
ATOMIC_POSITIONS angstrom
Np -2.803 -1.754 -1.964
Gd -0.531 0.782 -1.418
Rh -2.316 -0.407 0.643
Rh 0.044 -2.128 -1.189
! N(E_F) = 1.58 states/eV per atom
! ΔE to the lowest computed polymorph = 0.0 kJ per mole of atoms
! M_tot = 2.62 μB/atom
! calculated total energy = -0.8013 Ry/atom
! ΔE_f = -0.471 eV/atom

---

! Rb4Hf GGA-PBE optimized geometry; values from VASP
&SYSTEM
  ibrav = 0, nat = 5, ntyp = 2
/
ATOMIC_SPECIES
Hf 178.49 Hf.upf
Rb 85.47 Rb.upf
CELL_PARAMETERS angstrom
-7.075 -1.622 0.647
1.725 -6.068 3.648
-0.274 3.695 6.275
ATOMIC_POSITIONS angstrom
Hf -2.812 -1.998 5.285
Rb 0.000 0.000 0.000
Rb -3.674 1.036 3.461
Rb 0.726 -1.186 4.962
Rb -2.675 -3.845 2.147
! N(E_F) = 1.96 states/eV per atom
! M_tot = 0.84 μB/atom
! calculated total energy = -0.1293 Ry/atom
! ΔE_f = 1.006 eV/atom

---

! NdGe2Pb GGA-PBE optimized geometry; values from VASP
&SYSTEM
  ibrav = 0, nat = 4, ntyp = 3
/
ATOMIC_SPECIES
Pb 207.20 Pb.upf
Ge 72.64 Ge.upf
Nd 144.24 Nd.upf
CELL_PARAMETERS angstrom
-3.010 -1.922 2.403
2.884 0.202 3.774
-1.798 4.249 1.147
ATOMIC_POSITIONS angstrom
Pb -1.505 -0.961 1.201
Ge -0.899 2.125 0.573
Ge 1.442 0.101 1.887
Nd -0.962 1.265 3.662
! N(E_F) = 0.49 states/eV per atom
! ΔE to the lowest computed polymorph = 0.0 kJ per mole of atoms
! M_tot = 0.00 μB/atom
! calculated total energy = -0.3513 Ry/atom
! ΔE_f = -0.353 eV/atom

---

! PmPa2ZnN5 GGA-PBE optimized geometry; values from VASP
&SYSTEM
  ibrav = 0, nat = 18, ntyp = 4
/
ATOMIC_SPECIES
Pm 145.00 Pm.upf
Pa 231.04 Pa.upf
Zn 65.41 Zn.upf
N 14.01 N.upf
CELL_PARAMETERS angstrom
3.536 0.000 0.000
-1.768 6.740 0.000
0.000 0.000 11.033
ATOMIC_POSITIONS angstrom
Pm 1.768 4.740 5.102
Pm 0.000 2.000 10.619
Pa 1.768 5.471 8.434
Pa 0.000 2.441 7.313
Pa 0.000 1.269 2.917
Pa 1.768 4.299 1.797
Zn 0.000 6.190 0.190
Zn 1.768 0.549 5.706
N 0.000 4.175 0.433
N 1.768 3.035 8.771
N 0.000 6.664 9.279
N 0.000 4.632 7.062
N 0.000 0.096 6.637
N 1.768 2.564 5.949
N 0.000 3.705 3.255
N 1.768 0.076 3.763
N 1.768 2.108 1.545
N 1.768 6.643 1.121
! M_tot = 0.00 μB/atom
! calculated total energy = -0.6300 Ry/atom